Computed, not measured: a relaxed CeEr8Th2 crystal at the PBE level of DFT.

Unit cell a=18.976 b=6.908 c=5.530 alpha=90.00 beta=92.15 gamma=90.00
Space group C2/m (No. 12)
Inequivalent atoms, fractional coordinates:
1 Ce 0.000 0.000 0.000
2 Er 0.047 0.500 0.238
3 Er 0.131 0.268 0.738
4 Er 0.182 0.000 0.234
5 Th 0.218 0.500 0.258

Properties
Energy relative to the elements (eV per atom): 0.209
Crystal system: monoclinic

Computed, not measured: a relaxed CsNaCd2Pt crystal at the PBE level of DFT.

Unit cell a=5.367 b=5.367 c=6.364 alpha=90.00 beta=90.00 gamma=90.00
Space group P4/mmm (No. 123)
Inequivalent atoms, fractional coordinates:
1 Cs 0.000 0.000 0.000
2 Na 0.500 0.500 0.000
3 Cd 0.000 0.500 0.500
4 Pt 0.000 0.000 0.500

Properties
Offset from the most stable computed form (eV per atom): 0.181
Energy relative to the elements (eV per atom): -0.004
Crystal system: tetragonal

Computed, not measured: a relaxed Cs3Sm3CrSe8 crystal at the PBE level of DFT.

Unit cell a=8.3333 b=8.3333 c=25.8646 alpha=90.00 beta=90.00 gamma=120.00
Space group R-3m (No. 166, hexagonal axes)
Inequivalent atoms, fractional coordinates:
1 Cs 0.0000 0.5000 0.0000
2 Sm 0.0000 0.5000 0.5000
3 Cr 0.0000 0.0000 0.5000
4 Se 0.0000 0.0000 0.2305
5 Se 0.0333 0.5166 0.2247

Properties
ΔE_f (raw) (eV/atom): -1.3925
Crystal system: trigonal

Computed, not measured: a relaxed Zr2TlSi crystal at the PBE level of DFT.

Unit cell a=3.2362 b=3.2362 c=29.5553 alpha=90.00 beta=90.00 gamma=120.00
Space group R3m (No. 160, hexagonal axes)
Inequivalent atoms, fractional coordinates:
1 Zr 0.0000 0.0000 0.0000
2 Zr 0.0000 0.0000 0.2465
3 Tl 0.0000 0.0000 0.7579
4 Si 0.0000 0.0000 0.5072

Properties
ΔE_f (raw) (eV/atom): 0.1606
Crystal system: trigonal

Computed, not measured: a relaxed YHo12Tm7 crystal at the PBE level of DFT.

Unit cell a=12.6959 b=12.6959 c=13.5276 alpha=90.00 beta=90.00 gamma=120.00
Space group R-3 (No. 148, hexagonal axes)
Inequivalent atoms, fractional coordinates:
1 Y 0.0000 0.0000 0.0000
2 Ho 0.9999 0.4362 0.7502
3 Ho 0.0687 0.8693 0.3471
4 Tm 0.0000 0.0000 0.5000
5 Tm 0.0688 0.2005 0.8483

Properties
Offset from the most stable computed form (eV per atom): 0.000
Energy relative to the elements (eV per atom): 0.312
Crystal system: trigonal

Computed, not measured: a relaxed AcMg10Cd2 crystal at the PBE level of DFT.

Unit cell a=6.041 b=14.466 c=14.491 alpha=90.00 beta=90.00 gamma=90.00
Space group Fmmm (No. 69)
Inequivalent atoms, fractional coordinates:
1 Ac 0.000 0.000 0.000
2 Mg 0.000 0.110 0.393
3 Mg 0.000 0.178 0.175
4 Mg 0.250 0.000 0.250
5 Cd 0.250 0.250 0.000

Properties
Energy relative to the elements (eV per atom): -0.111
Crystal system: orthorhombic

Computed energy (eV for the cell shown) in order:
-109.96 -10.07 -225.31 -72.73 -259.35 -93.32